This record from OQMD via LeMat-Bulk describes CoPtSO after structural relaxation. The functional is GGA+U.

The size of the total moment comes out at 0.750 μB per atom. The calculation puts the total energy at -5.361 eV/atom.

a b c (Å): 4.8394 6.9530 7.6097
angles (deg): 90.00 90.00 90.00
Fractional coordinates of all 16 atoms:
Co (0.1739, 0.1384, 0.0870)
Co (0.3261, 0.8616, 0.5870)
Co (0.6739, 0.3616, 0.9130)
Co (0.8261, 0.6384, 0.4130)
Pt (0.0644, 0.2365, 0.6075)
Pt (0.4356, 0.7635, 0.1075)
Pt (0.5644, 0.2635, 0.3925)
Pt (0.9356, 0.7365, 0.8925)
S (0.0166, 0.3331, 0.3242)
S (0.4834, 0.6669, 0.8242)
S (0.5166, 0.1669, 0.6758)
S (0.9834, 0.8331, 0.1758)
O (0.0184, 0.2343, 0.8764)
O (0.4816, 0.7657, 0.3764)
O (0.5184, 0.2657, 0.1236)
O (0.9816, 0.7343, 0.6236)